No. 1
VASP calculation (PBE) on YErSc2P4 after structural relaxation.

Computed properties:
**Electronic total energy**: -57.7 eV for the cell shown

Structure (CIF):
```
data_YErSc2P4
_space_group_name_H-M_alt 'P 1 2/m 1'
_space_group_IT_number 10
_cell_length_a 6.702
_cell_length_b 3.880
_cell_length_c 6.717
_cell_angle_alpha 90.00
_cell_angle_beta 109.52
_cell_angle_gamma 90.00
loop_
_space_group_symop_operation_xyz
'x,y,z'
'-x,-y,-z'
'-x,y,-z'
'x,-y,z'
loop_
_atom_site_label
_atom_site_fract_x
_atom_site_fract_y
_atom_site_fract_z
Y1 0.000 0.000 0.000
Er1 0.000 0.500 0.500
Sc1 0.500 0.000 0.500
Sc2 0.500 0.500 0.000
P1 0.264 0.000 0.753
P2 0.265 0.500 0.256
```



No. 2
VASP calculation (PBE) on YEr2Sc3P6 after structural relaxation.

Computed properties:
**Electronic total energy**: -171.1 eV for the cell shown

Structure (CIF):
```
data_YEr2Sc3P6
_space_group_name_H-M_alt 'C 1 2/m 1'
_space_group_IT_number 12
_cell_length_a 6.712
_cell_length_b 11.625
_cell_length_c 6.693
_cell_angle_alpha 90.00
_cell_angle_beta 109.51
_cell_angle_gamma 90.00
loop_
_space_group_symop_operation_xyz
'x,y,z'
'-x,-y,-z'
'-x,y,-z'
'x,-y,z'
'x+1/2,y+1/2,z'
'-x+1/2,-y+1/2,-z'
'-x+1/2,y+1/2,-z'
'x+1/2,-y+1/2,z'
loop_
_atom_site_label
_atom_site_fract_x
_atom_site_fract_y
_atom_site_fract_z
Y1 0.000 0.000 0.000
Er1 0.000 0.333 0.000
Sc1 0.000 0.166 0.500
Sc2 0.000 0.500 0.500
P1 0.244 0.332 0.736
P2 0.247 0.000 0.736
```



No. 3
VASP calculation (PBE) on ErZr2ScP4 after structural relaxation.

Computed properties:
**Electronic total energy**: -61.2 eV for the cell shown

Structure (CIF):
```
data_ErZr2ScP4
_space_group_name_H-M_alt 'P 1 2/m 1'
_space_group_IT_number 10
_cell_length_a 6.554
_cell_length_b 3.782
_cell_length_c 6.629
_cell_angle_alpha 90.00
_cell_angle_beta 109.30
_cell_angle_gamma 90.00
loop_
_space_group_symop_operation_xyz
'x,y,z'
'-x,-y,-z'
'-x,y,-z'
'x,-y,z'
loop_
_atom_site_label
_atom_site_fract_x
_atom_site_fract_y
_atom_site_fract_z
Er1 0.000 0.000 0.000
Zr1 0.000 0.500 0.500
Zr2 0.500 0.000 0.500
Sc1 0.500 0.500 0.000
P1 0.254 0.000 0.747
P2 0.258 0.500 0.257
```



No. 4
VASP calculation (PBE) on Er2ZrScP4 after structural relaxation.

Computed properties:
**Electronic total energy**: -57.9 eV for the cell shown

Structure (CIF):
```
data_Er2ZrScP4
_space_group_name_H-M_alt 'P 1 2/m 1'
_space_group_IT_number 10
_cell_length_a 6.660
_cell_length_b 3.848
_cell_length_c 6.679
_cell_angle_alpha 90.00
_cell_angle_beta 109.33
_cell_angle_gamma 90.00
loop_
_space_group_symop_operation_xyz
'x,y,z'
'-x,-y,-z'
'-x,y,-z'
'x,-y,z'
loop_
_atom_site_label
_atom_site_fract_x
_atom_site_fract_y
_atom_site_fract_z
Er1 0.000 0.000 0.000
Er2 0.500 0.500 0.000
Zr1 0.000 0.500 0.500
Sc1 0.500 0.000 0.500
P1 0.246 0.000 0.738
P2 0.254 0.500 0.263
```



No. 5
VASP calculation (PBE) on Er3PSe2 after structural relaxation.

Computed properties:
**Uncorrected formation energy**: -169 kJ/mol of atoms

Structure (CIF):
```
data_Er3PSe2
_space_group_name_H-M_alt 'I m m m'
_space_group_IT_number 71
_space_group_name_Hall '-I 2 2'
_cell_length_a 3.986
_cell_length_b 5.647
_cell_length_c 12.220
_cell_angle_alpha 90.00
_cell_angle_beta 90.00
_cell_angle_gamma 90.00
loop_
_atom_site_label
_atom_site_fract_x
_atom_site_fract_y
_atom_site_fract_z
Er1 0.000 0.000 0.000
Er2 0.000 0.000 0.349
P1 0.000 0.500 0.000
Se1 0.000 0.500 0.329
```



No. 6
VASP calculation (PBE) on Er4P2Se after structural relaxation.

Computed properties:
**Uncorrected formation energy**: -137 kJ/mol of atoms

Structure (CIF):
```
data_Er4P2Se
_space_group_name_H-M_alt 'R -3 m'
_space_group_IT_number 166
_space_group_name_Hall '-R 3 2"'
_cell_length_a 3.9239
_cell_length_b 3.9239
_cell_length_c 38.6948
_cell_angle_alpha 90.00
_cell_angle_beta 90.00
_cell_angle_gamma 120.00
loop_
_atom_site_label
_atom_site_fract_x
_atom_site_fract_y
_atom_site_fract_z
Er1 0.0000 0.0000 0.1275
Er2 0.0000 0.0000 0.2860
P1 0.0000 0.0000 0.4202
Se1 0.0000 0.0000 0.0000
```